VASP calculation (PBE-GGA) on a relaxed structure of AcHo2Pb2.

a = 4.8735 Å, b = 4.8735 Å, c = 7.8177 Å
α = 108.16°, β = 108.16°, γ = 89.99°
Closest atoms and distances in Å follow each position.
Positions (direct):
1 Ho 0.7501 0.2499 0.5000  4 Pb 3.14, 4 Ho 3.44-3.45
2 Ho 0.2499 0.7501 0.5000  4 Pb 3.14, 4 Ho 3.44-3.45
3 Ac 0.0000 0.0000 0.0000  8 Pb 3.77
4 Pb 0.3914 0.3914 0.7829  1 Pb 3.05, 4 Ho 3.14
5 Pb 0.6086 0.6086 0.2171  1 Pb 3.05, 4 Ho 3.14

## Properties
Size of the total moment in μB per formula unit: 0.008
D(E_F) in states/eV/atom: 1.023
E_tot in eV/atom: -4.52

VASP calculation (PBE-GGA) on a relaxed structure of AcHoPb.

a = 4.8472 Å, b = 4.8472 Å, c = 8.9552 Å
α = 90.01°, β = 90.01°, γ = 90.00°
Closest atoms and distances in Å follow each position.
Positions (direct):
1 Ac 0.3137 0.3666 0.2702  5 Pb 3.55-3.59, 4 Ho 3.97
2 Ac 0.8135 0.8663 0.5690  5 Pb 3.55-3.59, 4 Ho 3.97
3 Pb 0.3134 0.3663 0.6715  4 Ho 3.29, 5 Ac 3.55-3.59
4 Pb 0.8137 0.8666 0.1677  4 Ho 3.29, 5 Ac 3.55-3.59
5 Ho 0.8136 0.3665 0.9196  4 Pb 3.29, 4 Ho 3.43
6 Ho 0.3136 0.8665 0.9196  4 Pb 3.29, 4 Ho 3.43

## Properties
Size of the total moment in μB per formula unit: 1.125
D(E_F) in states/eV/atom: 1.150
Offset from the most stable computed form in eV per atom: 0.0319

VASP calculation (PBE-GGA) on a relaxed structure of AcHoPb2.

a = 3.7327 Å, b = 3.7327 Å, c = 9.0666 Å
α = 90.00°, β = 90.00°, γ = 90.00°
Closest atoms and distances in Å follow each position.
Positions (direct):
1 Ac 0.5000 0.5000 0.5000  8 Pb 3.60, 4 Ac 3.73
2 Pb 0.0000 0.0000 0.7699  4 Ho 3.36, 4 Ac 3.60, 4 Pb 3.73
3 Pb 0.0000 0.0000 0.2301  4 Ho 3.36, 4 Ac 3.60, 4 Pb 3.73
4 Ho 0.5000 0.5000 0.0000  8 Pb 3.36, 4 Ho 3.73

## Properties
Size of the total moment in μB per formula unit: 0.000
D(E_F) in states/eV/atom: 0.727
E_tot in eV/atom: -4.46

VASP calculation (PBE-GGA) on a relaxed structure of AcHoPb2.

a = 4.6225 Å, b = 5.2722 Å, c = 5.2722 Å
α = 90.00°, β = 90.00°, γ = 90.00°
Closest atoms and distances in Å follow each position.
Positions (direct):
1 Ho 0.5000 0.5000 0.5000  8 Pb 3.51, 4 Ac 3.73
2 Pb 0.0000 0.5000 0.0000  4 Ac 3.51, 4 Ho 3.51, 4 Pb 3.73
3 Pb 0.0000 0.0000 0.5000  4 Ac 3.51, 4 Ho 3.51, 4 Pb 3.73
4 Ac 0.5000 0.0000 0.0000  8 Pb 3.51, 4 Ho 3.73

## Properties
Size of the total moment in μB per formula unit: 0.000
D(E_F) in states/eV/atom: 0.850
E_tot in eV/atom: -4.43

- Which formula does entry 3 have?
  AcHoPb2

- What is the formula in the first record?
  AcHo2Pb2

- Look up the size of the total moment of the second one.
  1.125 μB per formula unit

Repeat the fourth record exactly.
VASP calculation (PBE-GGA) on a relaxed structure of AcHoPb2.

a = 4.6225 Å, b = 5.2722 Å, c = 5.2722 Å
α = 90.00°, β = 90.00°, γ = 90.00°
Closest atoms and distances in Å follow each position.
Positions (direct):
1 Ho 0.5000 0.5000 0.5000  8 Pb 3.51, 4 Ac 3.73
2 Pb 0.0000 0.5000 0.0000  4 Ac 3.51, 4 Ho 3.51, 4 Pb 3.73
3 Pb 0.0000 0.0000 0.5000  4 Ac 3.51, 4 Ho 3.51, 4 Pb 3.73
4 Ac 0.5000 0.0000 0.0000  8 Pb 3.51, 4 Ho 3.73

## Properties
Size of the total moment in μB per formula unit: 0.000
D(E_F) in states/eV/atom: 0.850
E_tot in eV/atom: -4.43